1.
Below is crystalline Co3GeH at its relaxed geometry, with properties calculated at the PBE level.

Results
Magnetization in Bohr magnetons per cell: 3.6
Energy above the most stable polymorph in this dataset in eV per atom: 0.529
SG: Amm2, No. 38
Theoretical density in g/cm³: 5.99

Cell: 2.5467 6.1137 6.1137 Å, 133.19 90.00 90.00°
Atoms (fractional coordinates):
H1 0.0000 0.4354 0.5646
Ge1 0.5000 0.0982 0.9018
Co1 0.5000 0.1399 0.3194
Co2 0.5000 0.6806 0.8601
Co3 0.0000 0.2739 0.7261

=====

2.
Below is crystalline Co2Ge2H at its relaxed geometry, with properties calculated at the PBE level.

Results
Magnetization in Bohr magnetons per cell: 0.0
Energy above the most stable polymorph in this dataset in eV per atom: 0.000
SG: Cmc2_1, No. 36
Theoretical density in g/cm³: 7.78

Cell: 2.8575 6.4313 6.3006 Å, 90.00 103.11 90.00°
Atoms (fractional coordinates):
Co1 0.4335 0.3912 0.8670
Co2 0.8667 0.0293 0.7334
Co3 0.1333 0.5293 0.2666
Co4 0.5665 0.8912 0.1330
Ge1 0.9418 0.6895 0.8836
Ge2 0.7677 0.3724 0.5354
Ge3 0.2323 0.8724 0.4646
Ge4 0.0582 0.1895 0.1164
H1 0.3775 0.1520 0.7551
H2 0.6225 0.6520 0.2449

=====

3.
Below is crystalline Co3GeH at its relaxed geometry, with properties calculated at the PBE level.

Results
Magnetization in Bohr magnetons per cell: 4.4
Energy above the most stable polymorph in this dataset in eV per atom: 1.628
SG: Pm-3m, No. 221
Theoretical density in g/cm³: 4.91

Cell: 4.3905 4.3905 4.3905 Å, 90.00 90.00 90.00°
Atoms (fractional coordinates):
H1 0.5000 0.5000 0.5000
Ge1 0.0000 0.0000 0.0000
Co1 0.0000 0.5000 0.0000
Co2 0.0000 0.0000 0.5000
Co3 0.5000 0.0000 0.0000

=====

4.
Below is crystalline Co4GeH at its relaxed geometry, with properties calculated at the PBE level.

Results
Magnetization in Bohr magnetons per cell: 9.9
VASP energy in eV per atom: -6.089
SG: C2/c, No. 15
Theoretical density in g/cm³: 8.73

Cell: 4.4163 4.9945 5.9782 Å, 104.97 111.69 90.02°
Atoms (fractional coordinates):
Co1 0.4856 0.0525 0.8011
Co2 0.6845 0.4479 0.1993
Co3 0.5144 0.9475 0.1989
Co4 0.3155 0.5521 0.8007
Co5 0.8896 0.8534 0.6021
Co6 0.2878 0.6468 0.3981
Co7 0.1104 0.1466 0.3979
Co8 0.7122 0.3532 0.6019
Ge1 0.8925 0.7498 0.9999
Ge2 0.1075 0.2502 0.0001
H1 0.5000 0.0000 0.5000
H2 0.0000 0.5000 0.5000

=====

5.
Below is crystalline CoGe2H at its relaxed geometry, with properties calculated at the PBE level.

Results
Magnetization in Bohr magnetons per cell: 0.0
Energy above the most stable polymorph in this dataset in eV per atom: 0.000
SG: Fm-3m, No. 225
Theoretical density in g/cm³: 7.16

Cell: 4.0678 4.0678 4.0678 Å, 60.00 60.00 60.00°
Atoms (fractional coordinates):
H1 0.0000 0.0000 0.0000
Ge1 0.2500 0.2500 0.2500
Ge2 0.7500 0.7500 0.7500
Co1 0.5000 0.5000 0.5000

=====

6.
Below is crystalline Co3GeH at its relaxed geometry, with properties calculated at the PBE level.

Results
Magnetization in Bohr magnetons per cell: 4.6
Energy above the most stable polymorph in this dataset in eV per atom: 0.113
SG: Cmcm, No. 63
Theoretical density in g/cm³: 8.75

Cell: 4.4710 5.0779 4.4737 Å, 90.00 110.58 90.00°
Atoms (fractional coordinates):
H1 0.0416 0.2500 0.4583
H2 0.9584 0.7500 0.5417
Ge1 0.7302 0.2500 0.7697
Ge2 0.2698 0.7500 0.2303
Co1 0.7538 0.9999 0.2530
Co2 0.2462 0.0001 0.7470
Co3 0.7538 0.5001 0.2530
Co4 0.2462 0.4999 0.7470
Co5 0.2641 0.2500 0.2372
Co6 0.7359 0.7500 0.7628

=====

7.
Below is crystalline Co3GeH at its relaxed geometry, with properties calculated at the PBE level.

Results
Magnetization in Bohr magnetons per cell: 6.2
Energy above the most stable polymorph in this dataset in eV per atom: 0.888
SG: I-4m2, No. 119
Theoretical density in g/cm³: 5.66

Cell: 4.1624 4.1624 8.9775 Å, 76.60 76.60 90.00°
Atoms (fractional coordinates):
H1 0.6374 0.1374 0.7251
H2 0.8626 0.3626 0.2749
Ge1 0.0000 0.0000 0.0000
Ge2 0.2500 0.7500 0.5000
Co1 0.6331 0.8751 0.2498
Co2 0.1249 0.3669 0.7502
Co3 0.1249 0.8829 0.7502
Co4 0.1171 0.8751 0.2498
Co5 0.3525 0.3525 0.2950
Co6 0.6475 0.6475 0.7050

=====

8.
Below is crystalline Co3GeH at its relaxed geometry, with properties calculated at the PBE level.

Results
Magnetization in Bohr magnetons per cell: 6.7
Energy above the most stable polymorph in this dataset in eV per atom: 0.294
SG: P2_1/m, No. 11
Theoretical density in g/cm³: 7.37

Cell: 3.9565 5.0067 6.1116 Å, 90.00 68.73 90.00°
Atoms (fractional coordinates):
H1 0.6003 0.2500 0.7428
H2 0.3997 0.7500 0.2572
Ge1 0.1188 0.2500 0.2493
Ge2 0.8812 0.7500 0.7507
Co1 0.6849 0.9969 0.1279
Co2 0.3151 0.0031 0.8721
Co3 0.6849 0.5031 0.1279
Co4 0.3151 0.4969 0.8721
Co5 0.4937 0.2500 0.4992
Co6 0.5063 0.7500 0.5008

=====

9.
Below is crystalline Co3GeH at its relaxed geometry, with properties calculated at the PBE level.

Results
Magnetization in Bohr magnetons per cell: 6.6
Energy above the most stable polymorph in this dataset in eV per atom: 0.149
SG: C2/m, No. 12
Theoretical density in g/cm³: 8.47

Cell: 15.9613 7.6453 7.6453 Å, 159.87 159.62 20.38°
Atoms (fractional coordinates):
H1 0.0803 0.7261 0.2739
H2 0.9197 0.2739 0.7261
Ge1 0.4924 0.1305 0.8695
Ge2 0.5076 0.8695 0.1305
Co1 0.7468 0.2548 0.7452
Co2 0.2532 0.7452 0.2548
Co3 0.0028 0.3868 0.6132
Co4 0.9972 0.6132 0.3868
Co5 0.2435 0.9940 0.0060
Co6 0.7565 0.0060 0.9940

=====

10.
Below is crystalline Co3GeH at its relaxed geometry, with properties calculated at the PBE level.

Results
Magnetization in Bohr magnetons per cell: 4.0
Energy above the most stable polymorph in this dataset in eV per atom: 0.501
SG: P4mm, No. 99
Theoretical density in g/cm³: 6.07

Cell: 3.5060 3.5060 5.5738 Å, 90.00 90.00 90.00°
Atoms (fractional coordinates):
H1 0.5000 0.5000 0.4683
Ge1 0.0000 0.0000 0.1513
Co1 0.0000 0.0000 0.7324
Co2 0.5000 0.0000 0.4559
Co3 0.0000 0.5000 0.4559

=====

11.
Below is crystalline CoGeH at its relaxed geometry, with properties calculated at the PBE level.

Results
Magnetization in Bohr magnetons per cell: 0.0
Energy above the most stable polymorph in this dataset in eV per atom: 0.072
SG: Pna2_1, No. 33
Theoretical density in g/cm³: 7.33

Cell: 4.2340 5.3355 10.6351 Å, 90.00 90.00 90.00°
Atoms (fractional coordinates):
H1 0.2437 0.0971 0.0364
H2 0.7437 0.9029 0.9636
H3 0.7437 0.4029 0.5364
H4 0.2437 0.5971 0.4636
H5 0.6342 0.3767 0.3189
H6 0.1342 0.6233 0.6811
H7 0.1342 0.1233 0.8189
H8 0.6342 0.8767 0.1811
Ge1 0.2691 0.1589 0.4847
Ge2 0.7691 0.8411 0.5153
Ge3 0.7691 0.3411 0.9847
Ge4 0.2691 0.6589 0.0153
Ge5 0.1791 0.2819 0.2239
Ge6 0.6791 0.7181 0.7761
Ge7 0.6791 0.2181 0.7239
Ge8 0.1791 0.7819 0.2761
Co1 0.6451 0.0456 0.3193
Co2 0.1451 0.9544 0.6807
Co3 0.1451 0.4544 0.8193
Co4 0.6451 0.5456 0.1807
Co5 0.9301 0.9716 0.0953
Co6 0.4301 0.0284 0.9047
Co7 0.4301 0.5284 0.5953
Co8 0.9301 0.4716 0.4047

=====

12.
Below is crystalline HfCoGeH at its relaxed geometry, with properties calculated at the PBE level.

Results
Magnetization in Bohr magnetons per cell: 0.0
VASP energy in eV per atom: -6.771
SG: P4/nmm, No. 129
Theoretical density in g/cm³: 10.86

Cell: 3.7827 3.7827 6.6502 Å, 90.00 90.00 90.00°
Atoms (fractional coordinates):
Hf1 0.5000 0.0000 0.6587
Hf2 0.0000 0.5000 0.3412
Co1 0.5000 0.5000 0.0000
Co2 0.0000 0.0000 0.0000
Ge1 0.0000 0.5000 0.7937
Ge2 0.5000 0.0000 0.2063
H1 0.0000 0.0000 0.5000
H2 0.5000 0.5000 0.5000